one | # KHg3Ge (GGA-PBE, relaxed)
data_KHg3Ge
_symmetry_space_group_name_H-M 'P 1'
_symmetry_Int_Tables_number 1
_symmetry_space_group_name_Hall 'P 1'
_cell_length_a 5.5431
_cell_length_b 5.5431
_cell_length_c 5.5431
_cell_angle_alpha 90.00
_cell_angle_beta 90.00
_cell_angle_gamma 90.00
loop_
_atom_site_label
_atom_site_fract_x
_atom_site_fract_y
_atom_site_fract_z
K1 0.5000 0.5000 0.5000
Ge1 0.0000 0.0000 0.0000
Hg1 0.0000 0.5000 0.0000
Hg2 0.0000 0.0000 0.5000
Hg3 0.5000 0.0000 0.0000
# Calculated volume, Å³/cell: 170.3
# Total moment, Bohr magnetons per cell: 0.0

two | # KHg3Ge (GGA-PBE, relaxed)
data_KHg3Ge
_symmetry_space_group_name_H-M 'P 1'
_symmetry_Int_Tables_number 1
_symmetry_space_group_name_Hall 'P 1'
_cell_length_a 6.4232
_cell_length_b 6.4232
_cell_length_c 6.4232
_cell_angle_alpha 90.00
_cell_angle_beta 90.00
_cell_angle_gamma 90.00
loop_
_atom_site_label
_atom_site_fract_x
_atom_site_fract_y
_atom_site_fract_z
K1 0.0000 0.0000 0.0000
Ge1 0.5000 0.5000 0.5000
Hg1 0.0000 0.5000 0.0000
Hg2 0.0000 0.0000 0.5000
Hg3 0.5000 0.0000 0.0000
# Calculated volume, Å³/cell: 265.0
# Total moment, Bohr magnetons per cell: 2.9

one has the most favorable energy; the next structure is 0.658 eV/atom above.